(1)
The following is a PBE-GGA calculation of In2NiBi2 after structural relaxation, from Alexandria.

Computed properties:
Formation energy from the elements = 0.87 eV per formula unit
Space-group type = P4/mbm

a = 6.970 Å, b = 6.970 Å, c = 5.731 Å
α = 90.00°, β = 90.00°, γ = 90.00°
Atoms (fractional coordinates):
In 0.168 0.332 0.000
In 0.332 0.832 0.000
In 0.668 0.168 0.000
In 0.832 0.668 0.000
Ni 0.000 0.000 0.500
Ni 0.500 0.500 0.500
Bi 0.159 0.659 0.500
Bi 0.341 0.159 0.500
Bi 0.659 0.841 0.500
Bi 0.841 0.341 0.500


(2)
The following is a PBE-GGA calculation of LiRe2Se after structural relaxation, from Alexandria.

Computed properties:
Energy relative to the elements, uncorrected = 0.39 eV/atom
Space-group type = F-43m

a = 6.192 Å, b = 6.192 Å, c = 6.192 Å
α = 90.00°, β = 90.00°, γ = 90.00°
Atoms (fractional coordinates):
Li 0.000 0.000 0.000
Li 0.000 0.500 0.500
Li 0.500 0.000 0.500
Li 0.500 0.500 0.000
Re 0.000 0.000 0.500
Re 0.000 0.500 0.000
Re 0.250 0.250 0.250
Re 0.250 0.750 0.750
Re 0.500 0.000 0.000
Re 0.500 0.500 0.500
Re 0.750 0.250 0.750
Re 0.750 0.750 0.250
Se 0.250 0.250 0.750
Se 0.250 0.750 0.250
Se 0.750 0.250 0.250
Se 0.750 0.750 0.750


(3)
The following is a PBE-GGA calculation of PmZn3Cu3 after structural relaxation, from Alexandria.

Computed properties:
Formation energy from the elements = -1.17 eV per formula unit
Space-group type = R-3m

a = 6.756 Å, b = 6.756 Å, c = 6.756 Å
α = 62.65°, β = 62.65°, γ = 62.65°
Atoms (fractional coordinates):
Pm 0.134 0.134 0.134
Pm 0.866 0.866 0.866
Zn 0.180 0.180 0.569
Zn 0.180 0.569 0.180
Zn 0.431 0.820 0.820
Zn 0.569 0.180 0.180
Zn 0.820 0.431 0.820
Zn 0.820 0.820 0.431
Cu 0.192 0.561 0.561
Cu 0.439 0.439 0.808
Cu 0.439 0.808 0.439
Cu 0.561 0.192 0.561
Cu 0.561 0.561 0.192
Cu 0.808 0.439 0.439


(4)
The following is a PBE-GGA calculation of K4Na2Hg3 after structural relaxation, from Alexandria.

Computed properties:
Formation energy from the elements = -1.32 eV per formula unit
Space-group type = C2/m

a = 10.648 Å, b = 10.648 Å, c = 8.901 Å
α = 103.55°, β = 103.55°, γ = 22.65°
Atoms (fractional coordinates):
K 0.064 0.064 0.357
K 0.237 0.237 0.731
K 0.763 0.763 0.269
K 0.936 0.936 0.643
Na 0.114 0.114 0.981
Na 0.886 0.886 0.019
Hg 0.418 0.418 0.295
Hg 0.500 0.500 0.000
Hg 0.582 0.582 0.705


(5)
The following is a PBE-GGA calculation of Al3MoCl after structural relaxation, from Alexandria.

Computed properties:
Energy relative to the elements, uncorrected = 1.01 eV/atom
Space-group type = Pm-3m

a = 4.574 Å, b = 4.574 Å, c = 4.574 Å
α = 90.00°, β = 90.00°, γ = 90.00°
Atoms (fractional coordinates):
Al 0.000 0.000 0.500
Al 0.000 0.500 0.000
Al 0.500 0.000 0.000
Mo 0.500 0.500 0.500
Cl 0.000 0.000 0.000


(6)
The following is a PBE-GGA calculation of CeNd6YHo2 after structural relaxation, from Alexandria.

Computed properties:
Formation energy from the elements = 2.38 eV per formula unit
Space-group type = C2/m

a = 6.657 Å, b = 6.657 Å, c = 8.881 Å
α = 100.99°, β = 100.99°, γ = 64.41°
Atoms (fractional coordinates):
Ce 0.000 0.000 0.000
Nd 0.095 0.560 0.202
Nd 0.126 0.126 0.418
Nd 0.440 0.905 0.798
Nd 0.560 0.095 0.202
Nd 0.874 0.874 0.582
Nd 0.905 0.440 0.798
Y 0.500 0.500 0.500
Ho 0.409 0.409 0.838
Ho 0.591 0.591 0.162


(7)
The following is a PBE-GGA calculation of TaGaAs after structural relaxation, from Alexandria.

Computed properties:
Formation energy from the elements = -0.99 eV per formula unit
Space-group type = P4/nmm

a = 3.569 Å, b = 3.569 Å, c = 8.108 Å
α = 90.00°, β = 90.00°, γ = 90.00°
Atoms (fractional coordinates):
Ta 0.250 0.250 0.231
Ta 0.750 0.750 0.769
Ga 0.250 0.750 0.500
Ga 0.750 0.250 0.500
As 0.250 0.250 0.886
As 0.750 0.750 0.114


(8)
The following is a PBE-GGA calculation of La2Pm3Sm8 after structural relaxation, from Alexandria.

Computed properties:
Formation energy from the elements = 2.75 eV per formula unit
Space-group type = C2/m

a = 8.777 Å, b = 8.777 Å, c = 7.106 Å
α = 105.64°, β = 105.64°, γ = 64.23°
Atoms (fractional coordinates):
La 0.223 0.223 0.414
La 0.777 0.777 0.586
Pm 0.000 0.000 0.000
Pm 0.175 0.825 0.500
Pm 0.825 0.175 0.500
Sm 0.190 0.190 0.885
Sm 0.195 0.562 0.829
Sm 0.421 0.421 0.270
Sm 0.438 0.805 0.171
Sm 0.562 0.195 0.829
Sm 0.579 0.579 0.730
Sm 0.805 0.438 0.171
Sm 0.810 0.810 0.115


(9)
The following is a PBE-GGA calculation of TiFe3Te after structural relaxation, from Alexandria.

Computed properties:
Energy relative to the elements, uncorrected = 1.13 eV/atom
Space-group type = Pm-3m

a = 4.629 Å, b = 4.629 Å, c = 4.629 Å
α = 90.00°, β = 90.00°, γ = 90.00°
Atoms (fractional coordinates):
Ti 0.000 0.000 0.000
Fe 0.000 0.500 0.500
Fe 0.500 0.000 0.500
Fe 0.500 0.500 0.000
Te 0.500 0.500 0.500


(10)
The following is a PBE-GGA calculation of Be2CoRu after structural relaxation, from Alexandria.

Computed properties:
Formation energy from the elements = -0.34 eV per formula unit
Space-group type = F-43m

a = 5.524 Å, b = 5.524 Å, c = 5.524 Å
α = 90.00°, β = 90.00°, γ = 90.00°
Atoms (fractional coordinates):
Be 0.000 0.000 0.000
Be 0.000 0.500 0.500
Be 0.250 0.250 0.250
Be 0.250 0.750 0.750
Be 0.500 0.000 0.500
Be 0.500 0.500 0.000
Be 0.750 0.250 0.750
Be 0.750 0.750 0.250
Co 0.000 0.000 0.500
Co 0.000 0.500 0.000
Co 0.500 0.000 0.000
Co 0.500 0.500 0.500
Ru 0.250 0.250 0.750
Ru 0.250 0.750 0.250
Ru 0.750 0.250 0.250
Ru 0.750 0.750 0.750


(11)
The following is a PBE-GGA calculation of U2Co3Si5 after structural relaxation, from Alexandria.

Computed properties:
Energy relative to the elements, uncorrected = -0.47 eV/atom
Space-group type = Cmc2_1

a = 11.902 Å, b = 11.902 Å, c = 6.183 Å
α = 90.00°, β = 90.00°, γ = 160.49°
Atoms (fractional coordinates):
U 0.021 0.979 0.500
U 0.329 0.671 0.514
U 0.671 0.329 0.014
U 0.979 0.021 0.000
Co 0.107 0.893 0.248
Co 0.278 0.722 0.033
Co 0.445 0.555 0.279
Co 0.555 0.445 0.779
Co 0.722 0.278 0.533
Co 0.893 0.107 0.748
Si 0.100 0.900 0.856
Si 0.209 0.791 0.325
Si 0.215 0.785 0.734
Si 0.377 0.623 0.993
Si 0.446 0.554 0.670
Si 0.554 0.446 0.170
Si 0.623 0.377 0.493
Si 0.785 0.215 0.234
Si 0.791 0.209 0.825
Si 0.900 0.100 0.356


(12)
The following is a PBE-GGA calculation of Ho2GaNi4Ge3 after structural relaxation, from Alexandria.

Computed properties:
Formation energy from the elements = -6.88 eV per formula unit
Space-group type = P-4m2

a = 4.046 Å, b = 4.046 Å, c = 9.784 Å
α = 90.00°, β = 90.00°, γ = 90.00°
Atoms (fractional coordinates):
Ho 0.000 0.500 0.249
Ho 0.500 0.000 0.751
Ga 0.000 0.000 0.500
Ni 0.000 0.000 0.000
Ni 0.000 0.500 0.634
Ni 0.500 0.000 0.366
Ni 0.500 0.500 0.000
Ge 0.000 0.500 0.871
Ge 0.500 0.000 0.129
Ge 0.500 0.500 0.500


Result set for final energy: -3.630 -7.182 -3.147 -1.028 -3.767 -4.778 -6.841 -4.547 -6.152 -6.045 -7.573 -5.603 eV/atom, one per record in the order listed.